5
Lattice="3.615 0.000 0.000 0.000 3.615 0.000 0.000 0.000 5.439" Properties=species:S:1:pos:R:3 comment="TcH2SeBr PBE optimized geometry" m_tot_mub_per_cell=0.892 crystal_system=tetragonal space_group="No. 123" total_energy_ev_per_atom=-3.71 pbc="T T T"
Tc 0.000 0.000 0.000
H 0.000 1.807 2.719
H 1.807 0.000 2.719
Se 1.807 1.807 0.000
Br 0.000 0.000 2.719